Entry 1:
DFT (GGA-PBE) results for a geometry-optimized BiSbCl3 structure.

formation energy (no corrections): -0.164 eV/atom
ΔE to the lowest computed polymorph: 0 meV per atom
volume: 33.95 Å³ per atom

Cell and atoms, written as extended XYZ:
```
5
Lattice="5.5371 0.0000 0.0000 0.0000 5.5371 0.0000 0.0000 0.0000 5.5371" Properties=species:S:1:pos:R:3 pbc="T T T"
Cl 0.0000 2.7686 0.0000
Bi 0.0000 0.0000 0.0000
Cl 2.7686 0.0000 0.0000
Cl 0.0000 0.0000 2.7686
Sb 2.7686 2.7686 2.7686
```


Entry 2:
DFT (GGA-PBE) results for a geometry-optimized Bi3SbCl structure.

formation energy (no corrections): 0.580 eV/atom
ΔE to the lowest computed polymorph: 678 meV per atom
volume: 40.65 Å³ per atom

Cell and atoms, written as extended XYZ:
```
5
Lattice="-0.4739 1.4528 -5.6774 2.6946 -5.0040 -1.5055 -5.2041 -2.7233 -0.2625" Properties=species:S:1:pos:R:3 pbc="T T T"
Sb 0.0000 0.0000 0.0000
Bi -2.6020 -1.3617 -0.1313
Bi -0.2369 0.7264 -2.8387
Bi 1.3473 -2.5020 -0.7527
Cl -1.4917 -3.1373 -3.7227
```


Entry 3:
DFT (GGA-PBE) results for a geometry-optimized Bi5SbCl2 structure.

formation energy (no corrections): -0.215 eV/atom
volume: 35.70 Å³ per atom

Cell and atoms, written as extended XYZ:
```
8
Lattice="8.5284 0.0000 -0.0003 0.0002 10.0720 -1.0218 -4.2641 -5.6218 3.8953" Properties=species:S:1:pos:R:3 pbc="T T T"
Bi -1.5053 1.4609 2.8848
Bi 6.2845 2.8499 0.2381
Bi 1.5058 1.4609 2.8847
Cl 0.0002 4.4880 -0.0091
Bi 4.2644 4.8140 1.6615
Cl 4.2642 0.9442 0.5146
Sb 0.0001 -0.8057 1.5710
Bi 2.2441 2.8498 0.2382
```


Entry 4:
DFT (GGA-PBE) results for a geometry-optimized Bi2SbCl2 structure.

formation energy (no corrections): -0.352 eV/atom
ΔE to the lowest computed polymorph: 0 meV per atom
volume: 34.71 Å³ per atom

Cell and atoms, written as extended XYZ:
```
5
Lattice="4.2174 0.0867 1.8638 1.7874 3.8209 1.8638 -1.7067 -1.1106 9.8150" Properties=species:S:1:pos:R:3 pbc="T T T"
Sb 0.8937 1.9104 0.9319
Bi 1.8223 2.5147 10.4447
Bi 2.4757 0.2822 3.0980
Cl 1.6910 2.4292 4.8947
Cl 2.6071 0.3677 8.6479
```


Entry 5:
DFT (GGA-PBE) results for a geometry-optimized Bi3SbCl structure.

formation energy (no corrections): -0.098 eV/atom
ΔE to the lowest computed polymorph: 0 meV per atom
volume: 37.73 Å³ per atom

Cell and atoms, written as extended XYZ:
```
10
Lattice="7.6557 0.0000 0.0000 0.0000 8.2832 -1.1461 -3.8279 -3.9064 6.4899" Properties=species:S:1:pos:R:3 pbc="T T T"
Cl 3.8279 1.8474 1.3790
Bi -1.8217 -0.5549 4.5182
Sb 0.0000 -1.0761 1.7962
Bi 2.0061 4.9317 0.8256
Bi 1.8218 -0.5549 4.5182
Bi 3.8279 1.7597 4.0697
Sb 3.8279 5.4529 3.5476
Bi 5.6496 4.9317 0.8256
Bi 0.0000 2.6170 1.2741
Cl 0.0000 2.5294 3.9649
```


Entry 6:
DFT (GGA-PBE) results for a geometry-optimized Bi2SbCl2 structure.

formation energy (no corrections): 0.263 eV/atom
ΔE to the lowest computed polymorph: 615 meV per atom
volume: 32.23 Å³ per atom

Cell and atoms, written as extended XYZ:
```
5
Lattice="-4.4318 0.2268 -0.1222 0.0026 -2.0655 -3.9295 -2.6891 -8.1451 1.7721" Properties=species:S:1:pos:R:3 pbc="T T T"
Sb 0.0000 0.0000 0.0000
Bi -2.4506 -5.5650 -2.0916
Cl -4.8028 -7.5275 -1.0615
Bi -4.6678 -4.4188 -0.1879
Cl -2.3155 -2.4563 -1.2180
```


Entry 7:
DFT (GGA-PBE) results for a geometry-optimized Bi3SbCl structure.

formation energy (no corrections): 0.610 eV/atom
ΔE to the lowest computed polymorph: 708 meV per atom
volume: 33.76 Å³ per atom

Cell and atoms, written as extended XYZ:
```
5
Lattice="5.5267 0.0000 0.0000 0.0000 5.5267 0.0000 0.0000 0.0000 5.5267" Properties=species:S:1:pos:R:3 pbc="T T T"
Bi 0.0000 2.7634 0.0000
Bi 0.0000 0.0000 2.7634
Sb 2.7634 2.7634 2.7634
Bi 2.7634 0.0000 0.0000
Cl 0.0000 0.0000 0.0000
```


Entry 8:
DFT (GGA-PBE) results for a geometry-optimized BiSb2Cl structure.

formation energy (no corrections): -0.081 eV/atom
ΔE to the lowest computed polymorph: 0 meV per atom
volume: 34.15 Å³ per atom

Cell and atoms, written as extended XYZ:
```
8
Lattice="-5.7666 -3.7145 -7.3038 6.5068 -7.5042 -1.3209 -0.9824 -7.1038 -2.4844" Properties=species:S:1:pos:R:3 pbc="T T T"
Cl 2.9472 -10.1087 -4.0588
Sb -3.4093 -5.2757 -5.8234
Sb 3.4732 -6.6902 -1.8873
Sb 0.3316 -15.6295 -9.4953
Bi 0.0000 0.0000 0.0000
Cl 0.3701 -5.6093 -4.3123
Bi -3.1894 -8.2138 -7.0503
Sb -0.8800 -9.0496 -5.0122
```


Question: Which of these has the lowest volume?
Answer: number 6


What did the seventh record say?
DFT (GGA-PBE) results for a geometry-optimized Bi3SbCl structure.

formation energy (no corrections): 0.610 eV/atom
ΔE to the lowest computed polymorph: 708 meV per atom
volume: 33.76 Å³ per atom

Cell and atoms, written as extended XYZ:
```
5
Lattice="5.5267 0.0000 0.0000 0.0000 5.5267 0.0000 0.0000 0.0000 5.5267" Properties=species:S:1:pos:R:3 pbc="T T T"
Bi 0.0000 2.7634 0.0000
Bi 0.0000 0.0000 2.7634
Sb 2.7634 2.7634 2.7634
Bi 2.7634 0.0000 0.0000
Cl 0.0000 0.0000 0.0000
```


Question: Which of these has the highest volume?
Answer: number 2


What did the sixth record say?
DFT (GGA-PBE) results for a geometry-optimized Bi2SbCl2 structure.

formation energy (no corrections): 0.263 eV/atom
ΔE to the lowest computed polymorph: 615 meV per atom
volume: 32.23 Å³ per atom

Cell and atoms, written as extended XYZ:
```
5
Lattice="-4.4318 0.2268 -0.1222 0.0026 -2.0655 -3.9295 -2.6891 -8.1451 1.7721" Properties=species:S:1:pos:R:3 pbc="T T T"
Sb 0.0000 0.0000 0.0000
Bi -2.4506 -5.5650 -2.0916
Cl -4.8028 -7.5275 -1.0615
Bi -4.6678 -4.4188 -0.1879
Cl -2.3155 -2.4563 -1.2180
```